The following is a DFT calculation (PBE-GGA) of LaHg2W after structural relaxation.

Total moment ... 3.59 μB/f.u.
Relative energy among the computed polymorphs ... 0.294 eV per atom

a = 7.326 Å, b = 7.326 Å, c = 7.326 Å
α = 90.00°, β = 90.00°, γ = 90.00°
Space group F-43m (No. 216)
Unique sites:
La: 0.000 0.000 0.000 [4 per cell]
Hg: 0.000 0.000 0.500 [4 per cell]
Hg: 0.250 0.250 0.250 [4 per cell]
W: 0.250 0.250 0.750 [4 per cell]